[1]
Sr2YTmSe4 | PBE-GGA | optimized geometry

Cell: 7.2516 4.1918 7.4354 Å, 90.00 109.02 90.00°
Last column: nearest neighbours and their distance in Å.
Space group P2/m (No. 10)
Symmetry-distinct sites (fractional):
Sr1 0.0000 0.0000 0.0000 x1  6 Se 3.10
Sr2 0.5000 0.5000 0.0000 x1  6 Se 3.07
Y1 0.0000 0.5000 0.5000 x1  6 Se 2.92
Tm1 0.5000 0.0000 0.5000 x1  6 Se 2.89
Se1 0.2466 0.0000 0.7294 x2  1 Tm 2.89, 2 Y 2.92, 3 Sr 3.07-3.10
Se2 0.2607 0.5000 0.2728 x2  2 Tm 2.89, 1 Y 2.92, 3 Sr 3.07-3.10

Computed properties:
Total energy, eV per cell: -43.17
DOS(E_F), states/eV per cell: 3.6


[2]
Sr2TmZnSe5 | PBE-GGA | optimized geometry

Cell: 4.1295 18.4573 12.7061 Å, 90.00 90.00 90.00°
Last column: nearest neighbours and their distance in Å.
Space group Cmc2_1 (No. 36)
Symmetry-distinct sites (fractional):
Sr1 0.0000 0.1168 0.0000 x4  7 Se 3.11-3.35
Sr2 0.0000 0.1240 0.6366 x4  7 Se 3.14-3.45
Tm1 0.0000 0.2050 0.3324 x4  6 Se 2.77-2.91
Zn1 0.0000 0.4403 0.7485 x4  4 Se 2.42-2.59
Se1 0.0000 0.0483 0.3544 x4  2 Zn 2.47
Se2 0.0000 0.2958 0.9834 x4  2 Tm 2.82
Se3 0.0000 0.3089 0.6779 x4  1 Zn 2.59, 2 Tm 2.86
Se4 0.0000 0.3548 0.3214 x4  1 Tm 2.77
Se5 0.0000 0.4982 0.0804 x4  1 Zn 2.42

Computed properties:
Total energy, eV per cell: -160.78
DOS(E_F), states/eV per cell: 20.1


[3]
Sr3Tm3ZnSe8 | PBE-GGA | optimized geometry

Cell: 8.2365 8.2365 21.2385 Å, 90.00 90.00 120.00°
Last column: nearest neighbours and their distance in Å.
Space group R-3m (No. 166, hexagonal axes)
Symmetry-distinct sites (fractional):
Sr1 0.0000 0.5000 0.0000 x9  6 Se 3.07-3.10
Tm1 0.0000 0.5000 0.5000 x9  6 Se 2.84-2.87
Zn1 0.0000 0.0000 0.5000 x3  6 Se 2.80
Se1 0.0000 0.0000 0.2421 x6  3 Tm 2.87, 3 Sr 3.07
Se2 0.0055 0.5027 0.2388 x18  1 Zn 2.80, 2 Tm 2.84, 2 Sr 3.10

Computed properties:
Total energy, eV per cell: -219.02
DOS(E_F), states/eV per cell: 10.9


- Which of these has the highest total energy?
  Sr2YTmSe4


- Which of these has the highest total energy?
  Sr2YTmSe4


- Number 2 is which compound?
  Sr2TmZnSe5